Ba2SeBr: optimized geometry, PBE.

Structure (CIF):
```
data_Ba2SeBr
_space_group_name_H-M_alt 'P 1'
_space_group_IT_number 1
_cell_length_a 8.610
_cell_length_b 8.610
_cell_length_c 8.610
_cell_angle_alpha 150.50
_cell_angle_beta 150.45
_cell_angle_gamma 42.24
loop_
_space_group_symop_operation_xyz
'x,y,z'
loop_
_atom_site_label
_atom_site_type_symbol
_atom_site_fract_x
_atom_site_fract_y
_atom_site_fract_z
_atom_site_occupancy
Se1 Se 0.208 0.708 0.500 1
Ba1 Ba 0.058 0.058 0.000 1
Ba2 Ba 0.781 0.281 0.500 1
Br1 Br 0.452 0.452 0.000 1
```

**Space group**: Imm2, No. 44
**E**: -3.9513 eV per atom
**V**: 38.65 Å³/atom
**Formation energy from raw total energies**: -1.7005 eV per atom
**Energy relative to the lowest polymorph listed for this composition**: 13.55 kJ/mol of atoms